Material: BaCr2SiP
Method: DFT, GGA-PBE
State: optimized geometry

Fermi-level density of states ... 1.00 states/eV/atom
ΔE_f (raw) ... 233.0 kJ/mol of atoms

Lattice parameters (Å, degrees): 5.580 5.580 5.553 90.00 90.00 90.00
Fractional coordinates of all 5 atoms:
Ba 0.000 0.000 0.000
Cr 0.000 0.500 0.000
Cr 0.500 0.000 0.000
Si 0.000 0.000 0.500
P 0.500 0.500 0.500